Entry 1:
Rb5Ce2F12: relaxed, GGA-PBE.

Output
Its uncorrected formation energy is -3.3218 eV/atom. The value obtained for the calculated volume is 21.0 Å³/atom. The density of states at the Fermi level comes out at 12.54 states/eV/cell. The calculation puts the total energy at -204.551 eV/cell. As for the relative energy among the computed polymorphs: 0.000 eV/atom.

Unit cell a=13.9704 b=8.3630 c=6.9010 alpha=90.00 beta=98.48 gamma=90.00
Space group C2/m (No. 12)
Asymmetric unit:
Rb1 0.0000 0.0000 0.0000 (multiplicity 2)
Rb2 0.1386 0.5000 0.0176 (multiplicity 4)
Rb3 0.2405 0.0000 0.4796 (multiplicity 4)
Ce1 0.0000 0.2518 0.5000 (multiplicity 4)
F1 0.0327 0.5000 0.3336 (multiplicity 4)
F2 0.0677 0.0000 0.6419 (multiplicity 4)
F3 0.1004 0.2055 0.2736 (multiplicity 8)
F4 0.1398 0.3005 0.7032 (multiplicity 8)

***

Entry 2:
VTeAsN2: relaxed, GGA-PBE.

Output
Its uncorrected formation energy is 1.4934 eV/atom. The value obtained for the calculated volume is 19.4 Å³/atom. The density of states at the Fermi level comes out at 7.61 states/eV/cell. The calculation puts the total energy at -26.094 eV/cell. As for the relative energy among the computed polymorphs: 0.893 eV/atom.

Unit cell a=3.7458 b=3.7458 c=6.9178 alpha=90.00 beta=90.00 gamma=90.00
Space group P4/mmm (No. 123)
Asymmetric unit:
V1 0.0000 0.0000 0.0000 (multiplicity 1)
Te1 0.5000 0.5000 0.0000 (multiplicity 1)
As1 0.5000 0.5000 0.5000 (multiplicity 1)
N1 0.0000 0.5000 0.5000 (multiplicity 2)

***

Entry 3:
Ho2Zr3Pt4: relaxed, GGA-PBE.

Output
The formation energy comes out at -1.043 eV per atom. The value obtained for the calculated volume is 21.2 Å³/atom. The density of states at the Fermi level comes out at 16.64 states/eV/cell. The calculation puts the total energy at -136.702 eV/cell.

Unit cell a=7.0380 b=7.8435 c=7.3642 alpha=90.00 beta=109.88 gamma=90.00
Space group P2_1/c (No. 14)
Asymmetric unit:
Ho1 0.1927 0.1739 0.0688 (multiplicity 4)
Zr1 0.2507 0.6653 0.2531 (multiplicity 4)
Zr2 0.5000 0.0000 0.5000 (multiplicity 2)
Pt1 0.0862 0.5466 0.8573 (multiplicity 4)
Pt2 0.4958 0.1306 0.8682 (multiplicity 4)

***

Entry 4:
Er5GeRu2: relaxed, GGA-PBE.

Output
The formation energy comes out at -0.506 eV per atom. The value obtained for the calculated volume is 23.4 Å³/atom. The density of states at the Fermi level comes out at 28.91 states/eV/cell. The calculation puts the total energy at -200.115 eV/cell.

Unit cell a=7.5596 b=7.5596 c=13.0851 alpha=90.00 beta=90.00 gamma=90.00
Space group I4/mcm (No. 140)
Asymmetric unit:
Er1 0.0000 0.0000 0.0000 (multiplicity 4)
Er2 0.1613 0.3387 0.1393 (multiplicity 16)
Ge1 0.0000 0.0000 0.2500 (multiplicity 4)
Ru1 0.1376 0.3624 0.5000 (multiplicity 8)